No. 1
An optimized crystal structure of CsRb2PtCl8. Source: Alexandria via LeMat-Bulk, functional PBE.

Cell lengths 7.0198, 7.0198, 9.2258 Å; angles 90.00, 90.00, 120.00 degrees
Last column: nearest neighbours and their distance in Å.
Fractional coordinates of all 12 atoms:
Cs 0.0000 0.0000 0.0000  12 Cl 3.76-4.05
Rb 0.3333 0.6667 0.3478  10 Cl 3.29-3.51
Rb 0.6667 0.3333 0.6522  10 Cl 3.29-3.51
Pt 0.0000 0.0000 0.5000  6 Cl 2.35
Cl 0.1568 0.3136 0.6493  1 Pt 2.35
Cl 0.1568 0.8432 0.6493  1 Pt 2.35
Cl 0.3136 0.1568 0.3507  1 Pt 2.35
Cl 0.3333 0.6667 0.9911  1 Rb 3.29
Cl 0.6667 0.3333 0.0089  1 Rb 3.29
Cl 0.6864 0.8432 0.6493  1 Pt 2.35
Cl 0.8432 0.1568 0.3507  1 Pt 2.35
Cl 0.8432 0.6864 0.3507  1 Pt 2.35

Calculated total energy = -3.122 eV/atom
Formation energy without anion corrections = -1.16 eV per atom
Total magnetization = 1.1 μB/cell

---

No. 2
An optimized crystal structure of Pu3IN3. Source: Alexandria via LeMat-Bulk, functional PBE.

Cell lengths 8.7514, 8.7514, 8.7514 Å; angles 44.87, 44.87, 44.87 degrees
Last column: nearest neighbours and their distance in Å.
Fractional coordinates of all 14 atoms:
Pu 0.0533 0.3910 0.7265  4 N 2.24-2.28
Pu 0.2735 0.9467 0.6090  4 N 2.24-2.28
Pu 0.3910 0.7265 0.0533  4 N 2.24-2.28
Pu 0.6090 0.2735 0.9467  4 N 2.24-2.28
Pu 0.7265 0.0533 0.3910  4 N 2.24-2.28
Pu 0.9467 0.6090 0.2735  4 N 2.24-2.28
I 0.1667 0.1667 0.1667  6 Pu 3.40-3.41, 6 N 3.76-3.77
I 0.8333 0.8333 0.8333  6 Pu 3.40-3.41, 6 N 3.76-3.77
N 0.0407 0.7033 0.3699  4 Pu 2.24-2.28
N 0.2967 0.6301 0.9593  4 Pu 2.24-2.28
N 0.3699 0.0407 0.7033  4 Pu 2.24-2.28
N 0.6301 0.9593 0.2967  4 Pu 2.24-2.28
N 0.7033 0.3699 0.0407  4 Pu 2.24-2.28
N 0.9593 0.2967 0.6301  4 Pu 2.24-2.28

Calculated total energy = -11.160 eV/atom
Formation energy without anion corrections = -1.23 eV per atom
Total magnetization = 28.0 μB/cell

---

No. 3
An optimized crystal structure of BaCd4Hg8. Source: Alexandria via LeMat-Bulk, functional PBE.

Cell lengths 8.0487, 8.0487, 8.0487 Å; angles 98.38, 98.38, 135.13 degrees
Last column: nearest neighbours and their distance in Å.
Fractional coordinates of all 13 atoms:
Ba 0.0000 0.0000 0.0000  12 Hg 3.70-3.82, 8 Cd 4.02
Cd 0.0000 0.0000 0.5000  8 Hg 3.07-3.23, 2 Cd 3.07
Cd 0.0000 0.5000 0.0000  8 Hg 3.07-3.23, 2 Cd 3.07
Cd 0.5000 0.0000 0.0000  8 Hg 3.07-3.23, 2 Cd 3.07
Cd 0.5000 0.5000 0.5000  8 Hg 3.07-3.23, 2 Cd 3.07
Hg 0.0000 0.3518 0.3518  5 Hg 3.12-3.39, 4 Cd 3.23
Hg 0.0000 0.6482 0.6482  5 Hg 3.12-3.39, 4 Cd 3.23
Hg 0.2835 0.5000 0.7835  4 Cd 3.07, 6 Hg 3.22-3.39
Hg 0.3518 0.0000 0.3518  5 Hg 3.12-3.39, 4 Cd 3.23
Hg 0.5000 0.2835 0.7835  4 Cd 3.07, 6 Hg 3.22-3.39
Hg 0.5000 0.7165 0.2165  4 Cd 3.07, 6 Hg 3.22-3.39
Hg 0.6482 0.0000 0.6482  5 Hg 3.12-3.39, 4 Cd 3.23
Hg 0.7165 0.5000 0.2165  4 Cd 3.07, 6 Hg 3.22-3.39

Calculated total energy = -0.754 eV/atom
Energy relative to the elements = -0.139 eV/atom
Total magnetization = 0.0 μB/cell